Record 1
BaCuSe2, relaxed, DFT PBE-GGA; ρ = 5.76 g/cm³; E = -4.26 eV/atom; symmetry = Pmmn
1.0
4.6372 0.0000 0.0000
0.0000 4.6506 0.0000
0.0000 0.0000 9.6005
Ba Cu Se
2 2 4
Direct
0.2500 0.2500 0.1982
0.7500 0.7500 0.8018
0.2500 0.2500 0.6073
0.7500 0.7500 0.3927
0.2500 0.2500 0.8586
0.2500 0.7500 0.5006
0.7500 0.2500 0.4994
0.7500 0.7500 0.1414

---

Record 2
BaCu2Se2, relaxed, DFT PBE-GGA; ρ = 6.36 g/cm³; E = -4.16 eV/atom; symmetry = Pnma
1.0
9.6330 0.0000 0.0000
0.0000 4.2188 0.0000
0.0000 0.0000 10.8610
Ba Cu Se
4 8 8
Direct
0.2417 0.2500 0.1774
0.2583 0.7500 0.6774
0.7417 0.2500 0.3226
0.7583 0.7500 0.8226
0.0557 0.2500 0.8893
0.0782 0.2500 0.4560
0.4218 0.7500 0.9560
0.4443 0.7500 0.3893
0.5557 0.2500 0.6107
0.5782 0.2500 0.0440
0.9218 0.7500 0.5440
0.9443 0.7500 0.1107
0.0208 0.7500 0.3304
0.1591 0.7500 0.9610
0.3409 0.2500 0.4610
0.4792 0.2500 0.8304
0.5208 0.7500 0.1696
0.6591 0.7500 0.5390
0.8409 0.2500 0.0390
0.9792 0.2500 0.6696

---

Record 3
BaSmCuTe2Se, relaxed, DFT PBE-GGA; ρ = 6.34 g/cm³; E = -4.72 eV/atom; symmetry = Cmcm
1.0
2.1758 -7.4940 0.0000
2.1758 7.4940 0.0000
0.0000 0.0000 11.0023
Ba Sm Cu Te Se
2 2 2 4 2
Direct
0.2303 0.7697 0.7500
0.7697 0.2303 0.2500
0.5000 0.5000 0.0000
0.5000 0.5000 0.5000
0.0283 0.9717 0.2500
0.9717 0.0283 0.7500
0.1418 0.8582 0.0641
0.1418 0.8582 0.4359
0.8582 0.1418 0.5641
0.8582 0.1418 0.9359
0.4360 0.5640 0.2500
0.5640 0.4360 0.7500

---

Record 4
Ba2TaCuSe6, relaxed, DFT PBE-GGA; ρ = 5.78 g/cm³; E = -3.81 eV/atom; symmetry = P4/mmm
1.0
4.4074 0.0000 0.0000
0.0000 4.4074 0.0000
0.0000 0.0000 14.6908
Ba Ta Cu Se
2 1 1 6
Direct
0.0000 0.0000 0.2102
0.0000 0.0000 0.7898
0.5000 0.5000 0.0000
0.5000 0.5000 0.5000
0.0000 0.0000 0.0000
0.0000 0.0000 0.5000
0.0000 0.5000 0.3808
0.0000 0.5000 0.6192
0.5000 0.0000 0.3808
0.5000 0.0000 0.6192

---

Record 5
BaTbCuTe2Se, relaxed, DFT PBE-GGA; ρ = 6.55 g/cm³; E = -4.70 eV/atom; symmetry = Cmcm
1.0
2.1600 -7.4871 0.0000
2.1600 7.4871 0.0000
0.0000 0.0000 10.8771
Ba Tb Cu Te Se
2 2 2 4 2
Direct
0.2314 0.7686 0.7500
0.7686 0.2314 0.2500
0.5000 0.5000 0.0000
0.5000 0.5000 0.5000
0.0283 0.9717 0.2500
0.9717 0.0283 0.7500
0.1398 0.8602 0.0615
0.1398 0.8602 0.4385
0.8602 0.1398 0.5615
0.8602 0.1398 0.9385
0.4361 0.5639 0.2500
0.5639 0.4361 0.7500

---

Record 6
BaTbCuTeSe2, relaxed, DFT PBE-GGA; ρ = 6.19 g/cm³; E = -4.85 eV/atom; symmetry = Cmcm
1.0
2.1057 -7.3995 0.0000
2.1057 7.3995 0.0000
0.0000 0.0000 11.1108
Ba Tb Cu Te Se
2 2 2 2 4
Direct
0.2291 0.7709 0.7500
0.7709 0.2291 0.2500
0.0000 0.0000 0.0000
0.0000 0.0000 0.5000
0.4730 0.5270 0.2500
0.5270 0.4730 0.7500
0.0838 0.9162 0.2500
0.9162 0.0838 0.7500
0.3753 0.6247 0.0684
0.3753 0.6247 0.4316
0.6247 0.3753 0.5684
0.6247 0.3753 0.9316

---

Record 7
BaTmCuTeSe2, relaxed, DFT PBE-GGA; ρ = 6.42 g/cm³; E = -4.81 eV/atom; symmetry = Cmcm
1.0
2.0925 -7.3691 0.0000
2.0925 7.3691 0.0000
0.0000 0.0000 10.9922
Ba Tm Cu Te Se
2 2 2 2 4
Direct
0.2284 0.7716 0.7500
0.7716 0.2284 0.2500
0.0000 0.0000 0.0000
0.0000 0.0000 0.5000
0.4726 0.5274 0.2500
0.5274 0.4726 0.7500
0.0835 0.9165 0.2500
0.9165 0.0835 0.7500
0.3764 0.6236 0.0649
0.3764 0.6236 0.4351
0.6236 0.3764 0.5649
0.6236 0.3764 0.9351

---

Record 8
BaTmCuTe2Se, relaxed, DFT PBE-GGA; ρ = 6.76 g/cm³; E = -4.65 eV/atom; symmetry = Cmcm
1.0
2.1483 -7.4654 0.0000
2.1483 7.4654 0.0000
0.0000 0.0000 10.7817
Ba Tm Cu Te Se
2 2 2 4 2
Direct
0.2334 0.7666 0.7500
0.7666 0.2334 0.2500
0.5000 0.5000 0.0000
0.5000 0.5000 0.5000
0.0278 0.9722 0.2500
0.9722 0.0278 0.7500
0.1381 0.8619 0.0581
0.1381 0.8619 0.4419
0.8619 0.1381 0.5581
0.8619 0.1381 0.9419
0.4372 0.5628 0.2500
0.5628 0.4372 0.7500